The following is a DFT calculation (GGA-PBE) of YPIrS2 after structural relaxation.

Results
- Crystal system: tetragonal
- DFT total energy: -6.129 eV/atom
- D(E_F): 2.90 states/eV/cell

Cell and atoms, written as CIF:
```
data_YPIrS2
_cell_length_a 4.890
_cell_length_b 4.890
_cell_length_c 4.369
_cell_angle_alpha 90.00
_cell_angle_beta 90.00
_cell_angle_gamma 90.00
_symmetry_space_group_name_H-M 'P 4/m m m'
_symmetry_Int_Tables_number 123
_symmetry_space_group_name_Hall '-P 4 2'
loop_
_atom_site_label
_atom_site_type_symbol
_atom_site_fract_x
_atom_site_fract_y
_atom_site_fract_z
Y1 Y 0.000 0.000 0.000
P1 P 0.500 0.500 0.000
Ir1 Ir 0.500 0.500 0.500
S1 S 0.000 0.500 0.500
```